Density functional theory data (GGA+U) for crystalline AcZr2CrO8 at its relaxed geometry.

Properties
Space-group type = P2/m (10)
Density of states at the Fermi level = 3.8 states/eV/f.u.
Raw total energy = -8.2963 eV per atom

abc: 4.961 6.791 4.962
angles: 90.00 92.82 90.00
Atoms (fractional coordinates):
Ac  0.000  0.000  0.000
Zr  0.500  0.263  0.500
Zr  0.500  0.737  0.500
Cr  0.000  0.500  0.000
O  0.197  0.303  0.196
O  0.197  0.697  0.196
O  0.296  0.500  0.703
O  0.331  0.000  0.668
O  0.669  0.000  0.332
O  0.704  0.500  0.297
O  0.803  0.303  0.804
O  0.803  0.697  0.804